Entry 1:
# VAg3H (PBE-GGA, relaxed)
# polymorph energy (0 for the lowest one)	1115.8	meV/atom
data_VAg3H
_chemical_formula_sum 'V1 Ag3 H1'
_symmetry_space_group_name_H-M 'P m -3 m'
_symmetry_Int_Tables_number 221
_symmetry_space_group_name_Hall '-P 4 2 3'
_cell_length_a 5.134
_cell_length_b 5.134
_cell_length_c 5.134
_cell_angle_alpha 90.00
_cell_angle_beta 90.00
_cell_angle_gamma 90.00
loop_
_atom_site_label
_atom_site_fract_x
_atom_site_fract_y
_atom_site_fract_z
V1 0.000 0.000 0.000
Ag1 0.000 0.000 0.500
H1 0.500 0.500 0.500


Entry 2:
# SnWCl2 (PBE-GGA, relaxed)
# polymorph energy (0 for the lowest one)	0.0	meV/atom
# formation energy (no corrections)	18	meV per atom
data_SnWCl2
_chemical_formula_sum 'Sn3 W3 Cl6'
_symmetry_space_group_name_H-M 'R -3 m'
_symmetry_Int_Tables_number 166
_symmetry_space_group_name_Hall '-R 3 2"'
_cell_length_a 3.1383
_cell_length_b 3.1383
_cell_length_c 35.8639
_cell_angle_alpha 90.00
_cell_angle_beta 90.00
_cell_angle_gamma 120.00
loop_
_atom_site_label
_atom_site_fract_x
_atom_site_fract_y
_atom_site_fract_z
Sn1 0.0000 0.0000 0.0000
W1 0.0000 0.0000 0.5000
Cl1 0.0000 0.0000 0.1184


Entry 3:
# Ba2LiSi3 (PBE-GGA, relaxed)
# polymorph energy (0 for the lowest one)	4.6	meV/atom
# formation energy (no corrections)	-423	meV per atom
data_Ba2LiSi3
_chemical_formula_sum 'Ba16 Li8 Si24'
_symmetry_space_group_name_H-M 'F m m m'
_symmetry_Int_Tables_number 69
_symmetry_space_group_name_Hall '-F 2 2'
_cell_length_a 8.819
_cell_length_b 9.807
_cell_length_c 15.086
_cell_angle_alpha 90.00
_cell_angle_beta 90.00
_cell_angle_gamma 90.00
loop_
_atom_site_label
_atom_site_fract_x
_atom_site_fract_y
_atom_site_fract_z
Ba1 0.000 0.248 0.000
Ba2 0.250 0.250 0.250
Li1 0.000 0.000 0.334
Si1 0.000 0.000 0.158
Si2 0.238 0.000 0.080


Entry 4:
# Ce2AlNi3As4 (PBE-GGA, relaxed)
# total DFT energy (no corrections)	-58.9	eV/cell
data_Ce2AlNi3As4
_chemical_formula_sum 'Ce2 Al1 Ni3 As4'
_symmetry_space_group_name_H-M 'P -4 m 2'
_symmetry_Int_Tables_number 115
_symmetry_space_group_name_Hall 'P -4 -2'
_cell_length_a 4.289
_cell_length_b 4.289
_cell_length_c 9.522
_cell_angle_alpha 90.00
_cell_angle_beta 90.00
_cell_angle_gamma 90.00
loop_
_atom_site_label
_atom_site_fract_x
_atom_site_fract_y
_atom_site_fract_z
Ce1 0.000 0.500 0.239
Al1 0.000 0.000 0.500
Ni1 0.000 0.500 0.888
Ni2 0.500 0.500 0.500
As1 0.000 0.000 0.000
As2 0.000 0.500 0.641
As3 0.500 0.500 0.000


Entry 5:
# Ta5CuW4 (PBE-GGA, relaxed)
# total DFT energy (no corrections)	-115.6	eV/cell
data_Ta5CuW4
_chemical_formula_sum 'Ta5 Cu1 W4'
_symmetry_space_group_name_H-M 'P 4/m m m'
_symmetry_Int_Tables_number 123
_symmetry_space_group_name_Hall '-P 4 2'
_cell_length_a 3.256
_cell_length_b 3.256
_cell_length_c 15.826
_cell_angle_alpha 90.00
_cell_angle_beta 90.00
_cell_angle_gamma 90.00
loop_
_atom_site_label
_atom_site_fract_x
_atom_site_fract_y
_atom_site_fract_z
Ta1 0.000 0.000 0.000
Ta2 0.000 0.000 0.205
Ta3 0.000 0.000 0.405
Cu1 0.500 0.500 0.500
W1 0.500 0.500 0.102
W2 0.500 0.500 0.308


Entry 6:
# K4CaPd3O8 (PBE-GGA, relaxed)
# formation energy (no corrections)	-1108	meV per atom
data_K4CaPd3O8
_chemical_formula_sum 'K8 Ca2 Pd6 O16'
_symmetry_space_group_name_H-M 'C 1 2/m 1'
_symmetry_Int_Tables_number 12
_symmetry_space_group_name_Hall '-C 2y'
_cell_length_a 11.530
_cell_length_b 6.716
_cell_length_c 7.153
_cell_angle_alpha 90.00
_cell_angle_beta 123.80
_cell_angle_gamma 90.00
loop_
_atom_site_label
_atom_site_fract_x
_atom_site_fract_y
_atom_site_fract_z
K1 0.000 0.000 0.000
K2 0.000 0.500 0.000
K3 0.250 0.250 0.000
Ca1 0.000 0.000 0.500
Pd1 0.000 0.500 0.500
Pd2 0.250 0.250 0.500
O1 0.028 0.273 0.325
O2 0.216 0.500 0.697
O3 0.239 0.000 0.667


Entry 7:
# Cd6HgPd2 (PBE-GGA, relaxed)
# polymorph energy (0 for the lowest one)	12.6	meV/atom
data_Cd6HgPd2
_chemical_formula_sum 'Cd12 Hg2 Pd4'
_symmetry_space_group_name_H-M 'P 42/m n m'
_symmetry_Int_Tables_number 136
_symmetry_space_group_name_Hall '-P 4n 2n'
_cell_length_a 9.255
_cell_length_b 9.255
_cell_length_c 4.118
_cell_angle_alpha 90.00
_cell_angle_beta 90.00
_cell_angle_gamma 90.00
loop_
_atom_site_label
_atom_site_fract_x
_atom_site_fract_y
_atom_site_fract_z
Cd1 0.004 0.328 0.000
Cd2 0.169 0.831 0.500
Hg1 0.000 0.000 0.000
Pd1 0.168 0.168 0.500


Entry 8:
# MnBeCo (PBE-GGA, relaxed)
# polymorph energy (0 for the lowest one)	182.8	meV/atom
data_MnBeCo
_chemical_formula_sum 'Mn1 Be1 Co1'
_symmetry_space_group_name_H-M 'P 3 m 1'
_symmetry_Int_Tables_number 156
_symmetry_space_group_name_Hall 'P 3 -2"'
_cell_length_a 2.4461
_cell_length_b 2.4461
_cell_length_c 5.7512
_cell_angle_alpha 90.00
_cell_angle_beta 90.00
_cell_angle_gamma 120.00
loop_
_atom_site_label
_atom_site_fract_x
_atom_site_fract_y
_atom_site_fract_z
Mn1 0.0000 0.0000 0.0000
Be1 0.6667 0.3333 0.3363
Co1 0.3333 0.6667 0.6592


Entry 9:
# KHgO (PBE-GGA, relaxed)
# polymorph energy (0 for the lowest one)	0.0	meV/atom
# formation energy (no corrections)	-764	meV per atom
data_KHgO
_chemical_formula_sum 'K4 Hg4 O4'
_symmetry_space_group_name_H-M 'C m c m'
_symmetry_Int_Tables_number 63
_symmetry_space_group_name_Hall '-C 2c 2'
_cell_length_a 3.988
_cell_length_b 18.889
_cell_length_c 3.812
_cell_angle_alpha 90.00
_cell_angle_beta 90.00
_cell_angle_gamma 90.00
loop_
_atom_site_label
_atom_site_fract_x
_atom_site_fract_y
_atom_site_fract_z
K1 0.000 0.188 0.250
Hg1 0.000 0.443 0.250
O1 0.000 0.333 0.250


Entry 10:
# Ho3Ni8Ag (PBE-GGA, relaxed)
# total DFT energy (no corrections)	-203.0	eV/cell
data_Ho3Ni8Ag
_chemical_formula_sum 'Ho9 Ni24 Ag3'
_symmetry_space_group_name_H-M 'R 3 m'
_symmetry_Int_Tables_number 160
_symmetry_space_group_name_Hall 'R 3 -2"'
_cell_length_a 4.9931
_cell_length_b 4.9931
_cell_length_c 24.5176
_cell_angle_alpha 90.00
_cell_angle_beta 90.00
_cell_angle_gamma 120.00
loop_
_atom_site_label
_atom_site_fract_x
_atom_site_fract_y
_atom_site_fract_z
Ho1 0.0000 0.0000 0.0000
Ho2 0.0000 0.0000 0.1297
Ho3 0.0000 0.0000 0.5148
Ni1 0.0000 0.0000 0.3189
Ni2 0.0000 0.0000 0.8189
Ni3 0.9996 0.4998 0.0692
Ni4 0.1685 0.3369 0.9019
Ag1 0.0000 0.0000 0.6350


Entry 11:
# Sr2SiAu2 (PBE-GGA, relaxed)
# formation energy (no corrections)	-387	meV per atom
data_Sr2SiAu2
_chemical_formula_sum 'Sr4 Si2 Au4'
_symmetry_space_group_name_H-M 'I 4/m m m'
_symmetry_Int_Tables_number 139
_symmetry_space_group_name_Hall '-I 4 2'
_cell_length_a 3.901
_cell_length_b 3.901
_cell_length_c 18.106
_cell_angle_alpha 90.00
_cell_angle_beta 90.00
_cell_angle_gamma 90.00
loop_
_atom_site_label
_atom_site_fract_x
_atom_site_fract_y
_atom_site_fract_z
Sr1 0.000 0.000 0.103
Si1 0.000 0.000 0.500
Au1 0.000 0.500 0.250


Entry 12:
# Sn5Br (PBE-GGA, relaxed)
# formation energy (no corrections)	-52	meV per atom
data_Sn5Br
_chemical_formula_sum 'Sn10 Br2'
_symmetry_space_group_name_H-M 'C m m m'
_symmetry_Int_Tables_number 65
_symmetry_space_group_name_Hall '-C 2 2'
_cell_length_a 5.434
_cell_length_b 18.092
_cell_length_c 3.473
_cell_angle_alpha 90.00
_cell_angle_beta 90.00
_cell_angle_gamma 90.00
loop_
_atom_site_label
_atom_site_fract_x
_atom_site_fract_y
_atom_site_fract_z
Sn1 0.000 0.000 0.000
Sn2 0.000 0.156 0.500
Sn3 0.000 0.311 0.000
Br1 0.000 0.500 0.500


Entry 13:
# Mg5CdIn2Ga2 (PBE-GGA, relaxed)
# total DFT energy (no corrections)	-41.6	eV/cell
data_Mg5CdIn2Ga2
_chemical_formula_sum 'Mg10 Cd2 In4 Ga4'
_symmetry_space_group_name_H-M 'P 4/m b m'
_symmetry_Int_Tables_number 127
_symmetry_space_group_name_Hall '-P 4 2ab'
_cell_length_a 11.495
_cell_length_b 11.495
_cell_length_c 3.455
_cell_angle_alpha 90.00
_cell_angle_beta 90.00
_cell_angle_gamma 90.00
loop_
_atom_site_label
_atom_site_fract_x
_atom_site_fract_y
_atom_site_fract_z
Mg1 0.000 0.500 0.000
Mg2 0.027 0.207 0.000
Cd1 0.000 0.000 0.500
In1 0.185 0.685 0.500
Ga1 0.137 0.363 0.500


Entry 14:
# SrLi2Co2 (PBE-GGA, relaxed)
# polymorph energy (0 for the lowest one)	96.0	meV/atom
data_SrLi2Co2
_chemical_formula_sum 'Sr2 Li4 Co4'
_symmetry_space_group_name_H-M 'P 4/m b m'
_symmetry_Int_Tables_number 127
_symmetry_space_group_name_Hall '-P 4 2ab'
_cell_length_a 7.679
_cell_length_b 7.679
_cell_length_c 2.970
_cell_angle_alpha 90.00
_cell_angle_beta 90.00
_cell_angle_gamma 90.00
loop_
_atom_site_label
_atom_site_fract_x
_atom_site_fract_y
_atom_site_fract_z
Sr1 0.000 0.000 0.000
Li1 0.170 0.330 0.500
Co1 0.103 0.603 0.000


Entry 15:
# BaNa2Tl8 (PBE-GGA, relaxed)
# polymorph energy (0 for the lowest one)	17.5	meV/atom
data_BaNa2Tl8
_chemical_formula_sum 'Ba2 Na4 Tl16'
_symmetry_space_group_name_H-M 'C 1 2/m 1'
_symmetry_Int_Tables_number 12
_symmetry_space_group_name_Hall '-C 2y'
_cell_length_a 17.452
_cell_length_b 6.356
_cell_length_c 6.315
_cell_angle_alpha 90.00
_cell_angle_beta 91.68
_cell_angle_gamma 90.00
loop_
_atom_site_label
_atom_site_fract_x
_atom_site_fract_y
_atom_site_fract_z
Ba1 0.000 0.000 0.000
Na1 0.247 0.000 0.340
Tl1 0.093 0.254 0.486
Tl2 0.106 0.500 0.992
Tl3 0.209 0.000 0.853


Entry 16:
# Mn2BeHg (PBE-GGA, relaxed)
# polymorph energy (0 for the lowest one)	516.1	meV/atom
data_Mn2BeHg
_chemical_formula_sum 'Mn8 Be4 Hg4'
_symmetry_space_group_name_H-M 'I -4 2 d'
_symmetry_Int_Tables_number 122
_symmetry_space_group_name_Hall 'I -4 2bw'
_cell_length_a 3.522
_cell_length_b 3.522
_cell_length_c 17.836
_cell_angle_alpha 90.00
_cell_angle_beta 90.00
_cell_angle_gamma 90.00
loop_
_atom_site_label
_atom_site_fract_x
_atom_site_fract_y
_atom_site_fract_z
Mn1 0.170 0.250 0.125
Be1 0.000 0.000 0.000
Hg1 0.000 0.000 0.500


Entry 17:
# LiTm3In (PBE-GGA, relaxed)
# total DFT energy (no corrections)	-74.3	eV/cell
data_LiTm3In
_chemical_formula_sum 'Li4 Tm12 In4'
_symmetry_space_group_name_H-M 'P 1 21/c 1'
_symmetry_Int_Tables_number 14
_symmetry_space_group_name_Hall '-P 2ybc'
_cell_length_a 8.327
_cell_length_b 6.644
_cell_length_c 10.193
_cell_angle_alpha 90.00
_cell_angle_beta 107.74
_cell_angle_gamma 90.00
loop_
_atom_site_label
_atom_site_fract_x
_atom_site_fract_y
_atom_site_fract_z
Li1 0.005 0.250 0.002
Tm1 0.218 0.003 0.305
Tm2 0.218 0.003 0.805
Tm3 0.407 0.750 0.102
In1 0.376 0.250 0.094


Entry 18:
# Zn4CoSb (PBE-GGA, relaxed)
# formation energy (no corrections)	232	meV per atom
data_Zn4CoSb
_chemical_formula_sum 'Zn16 Co4 Sb4'
_symmetry_space_group_name_H-M 'F -4 3 m'
_symmetry_Int_Tables_number 216
_symmetry_space_group_name_Hall 'F -4 2 3'
_cell_length_a 7.240
_cell_length_b 7.240
_cell_length_c 7.240
_cell_angle_alpha 90.00
_cell_angle_beta 90.00
_cell_angle_gamma 90.00
loop_
_atom_site_label
_atom_site_fract_x
_atom_site_fract_y
_atom_site_fract_z
Zn1 0.123 0.123 0.123
Co1 0.250 0.250 0.750
Sb1 0.000 0.000 0.500


Entry 19:
# Sb3TePb (PBE-GGA, relaxed)
# polymorph energy (0 for the lowest one)	267.7	meV/atom
# formation energy (no corrections)	949	meV per atom
data_Sb3TePb
_chemical_formula_sum 'Sb3 Te1 Pb1'
_symmetry_space_group_name_H-M 'P m -3 m'
_symmetry_Int_Tables_number 221
_symmetry_space_group_name_Hall '-P 4 2 3'
_cell_length_a 5.757
_cell_length_b 5.757
_cell_length_c 5.757
_cell_angle_alpha 90.00
_cell_angle_beta 90.00
_cell_angle_gamma 90.00
loop_
_atom_site_label
_atom_site_fract_x
_atom_site_fract_y
_atom_site_fract_z
Sb1 0.000 0.000 0.500
Te1 0.500 0.500 0.500
Pb1 0.000 0.000 0.000


Entry 20:
# LaY4Sc (PBE-GGA, relaxed)
# polymorph energy (0 for the lowest one)	633.6	meV/atom
data_LaY4Sc
_chemical_formula_sum 'La1 Y4 Sc1'
_symmetry_space_group_name_H-M 'P 4/m m m'
_symmetry_Int_Tables_number 123
_symmetry_space_group_name_Hall '-P 4 2'
_cell_length_a 4.985
_cell_length_b 4.985
_cell_length_c 9.227
_cell_angle_alpha 90.00
_cell_angle_beta 90.00
_cell_angle_gamma 90.00
loop_
_atom_site_label
_atom_site_fract_x
_atom_site_fract_y
_atom_site_fract_z
La1 0.000 0.000 0.000
Y1 0.000 0.500 0.295
Sc1 0.500 0.500 0.500